Record 1
Below is a geometry-optimized HgTe2N2 structure, with properties calculated at the PBE level.

a = 5.9222 Å, b = 5.9222 Å, c = 4.0303 Å
α = 90.00°, β = 90.00°, γ = 90.00°
Fractional coordinates of all 5 atoms:
Te 0.5000 0.0000 0.0000
Te 0.0000 0.5000 0.0000
Hg 0.0000 0.0000 0.0000
N 0.5000 0.5000 0.5000
N 0.0000 0.0000 0.5000

Output
Space group: P4/mmm
Formation energy without anion corrections in meV per atom: 2215
Energy above the most stable polymorph in this dataset in meV per atom: 938
Calculated volume in Å³/atom: 28.3



Record 2
Below is a geometry-optimized LiPRu structure, with properties calculated at the PBE level.

a = 3.8748 Å, b = 3.8748 Å, c = 19.8216 Å
α = 90.00°, β = 90.00°, γ = 120.00°
Fractional coordinates of all 18 atoms:
Ru 0.6667 0.3333 0.2087
Ru 0.0000 0.0000 0.8754
Ru 0.3333 0.6667 0.5420
Ru 0.6667 0.3333 0.7801
Ru 0.0000 0.0000 0.4468
Ru 0.3333 0.6667 0.1134
P 0.6667 0.3333 0.4248
P 0.0000 0.0000 0.5664
P 0.3333 0.6667 0.7581
P 0.3333 0.6667 0.2331
P 0.0000 0.0000 0.0914
P 0.6667 0.3333 0.8997
Li 0.6667 0.3333 0.6299
Li 0.6667 0.3333 0.0367
Li 0.0000 0.0000 0.7034
Li 0.0000 0.0000 0.2966
Li 0.3333 0.6667 0.9633
Li 0.3333 0.6667 0.3701

Output
Space group: R3m
ΔH_f (0 K) in meV/atom: -532
Calculated volume in Å³/atom: 14.3



no.,magnetization (μB/f.u.),VASP energy (eV per atom),theoretical density (g/cm³)
1,3.242,-2.43,5.7
2,0.000,-6.07,5.4